Entry 1:
# CaSc2Ta (PBE, relaxed)
# ρ ... 5.24 g/cm³
# Formation energy from the elements ... 0.472 eV per atom
# Electronic total energy ... -6.16 eV per atom
# Crystal system ... orthorhombic
# Offset from the most stable computed form ... 255.6 meV/atom
data_CaSc2Ta
_chemical_formula_sum 'Ca2 Sc4 Ta2'
_cell_length_a 3.195
_cell_length_b 5.531
_cell_length_c 11.142
_cell_angle_alpha 90.00
_cell_angle_beta 90.00
_cell_angle_gamma 90.00
_symmetry_space_group_name_H-M 'I m m 2'
_symmetry_Int_Tables_number 44
loop_
_symmetry_equiv_pos_as_xyz
'x,y,z'
'-x,-y,z'
'-x,y,z'
'x,-y,z'
'x+1/2,y+1/2,z+1/2'
'-x+1/2,-y+1/2,z+1/2'
'-x+1/2,y+1/2,z+1/2'
'x+1/2,-y+1/2,z+1/2'
loop_
_atom_site_label
_atom_site_type_symbol
_atom_site_fract_x
_atom_site_fract_y
_atom_site_fract_z
Ca1 Ca 0.000 0.000 0.000
Sc1 Sc 0.000 0.000 0.536
Sc2 Sc 0.000 0.500 0.776
Ta1 Ta 0.000 0.500 0.248

***

Entry 2:
# SrAsOs (PBE, relaxed)
# ρ ... 7.27 g/cm³
# Formation energy from the elements ... 1.496 eV per atom
# Electronic total energy ... -4.36 eV per atom
# Crystal system ... cubic
data_SrAsOs
_chemical_formula_sum 'Sr4 As4 Os4'
_cell_length_a 6.858
_cell_length_b 6.858
_cell_length_c 6.858
_cell_angle_alpha 90.00
_cell_angle_beta 90.00
_cell_angle_gamma 90.00
_symmetry_space_group_name_H-M 'F -4 3 m'
_symmetry_Int_Tables_number 216
_symmetry_space_group_name_Hall 'F -4 2 3'
loop_
_atom_site_label
_atom_site_type_symbol
_atom_site_fract_x
_atom_site_fract_y
_atom_site_fract_z
Sr1 Sr 0.000 0.000 0.000
As1 As 0.250 0.250 0.250
Os1 Os 0.250 0.250 0.750